[1]
The following is a DFT calculation (PBE) of a geometry-optimized Na2ZnPHO5 structure.

Values from the calculation:
As for the final energy: -226.15 eV per cell. As for the volume: 11.59 A^3/atom.

Cell lengths 8.497, 9.836, 5.751 Å; angles 90.00, 105.26, 90.00 degrees
Space group P2_1/c (No. 14)
One atom of each set of equivalent atoms:
Na  0.116  0.172  0.358 (multiplicity 4)
Na  0.202  0.642  0.817 (multiplicity 4)
Zn  0.491  0.142  0.224 (multiplicity 4)
P  0.201  0.008  0.862 (multiplicity 4)
H  0.452  0.122  0.636 (multiplicity 4)
O  0.072  0.106  0.714 (multiplicity 4)
O  0.141  0.636  0.384 (multiplicity 4)
O  0.267  0.069  0.124 (multiplicity 4)
O  0.346  0.004  0.737 (multiplicity 4)
O  0.485  0.689  0.933 (multiplicity 4)

***

[2]
The following is a DFT calculation (PBE) of a geometry-optimized Na2ZrP2H2O9 structure.

Values from the calculation:
As for the final energy: -437.44 eV per cell. As for the volume: 12.01 A^3/atom.

Cell lengths 8.685, 5.341, 17.724 Å; angles 90.00, 110.73, 90.00 degrees
Space group P2_1/c (No. 14)
One atom of each set of equivalent atoms:
Na  0.114  0.002  0.443 (multiplicity 4)
Na  0.187  0.504  0.570 (multiplicity 4)
Zr  0.268  0.519  0.783 (multiplicity 4)
P  0.128  0.010  0.861 (multiplicity 4)
P  0.309  0.023  0.658 (multiplicity 4)
H  0.481  0.554  0.439 (multiplicity 4)
H  0.481  0.711  0.588 (multiplicity 4)
O  0.018  0.000  0.220 (multiplicity 4)
O  0.071  0.030  0.933 (multiplicity 4)
O  0.171  0.009  0.576 (multiplicity 4)
O  0.233  0.731  0.369 (multiplicity 4)
O  0.236  0.241  0.860 (multiplicity 4)
O  0.294  0.693  0.213 (multiplicity 4)
O  0.304  0.224  0.199 (multiplicity 4)
O  0.429  0.561  0.557 (multiplicity 4)
O  0.479  0.000  0.647 (multiplicity 4)

***

Among the records above, which one has the lowest final energy?
Na2ZrP2H2O9

***

Which value of final energy does entry 2 give?
-437.44 eV per cell